# 1
Below is a relaxed structure of AgMoIr2, with properties calculated at the PBE-GGA level.

Calculated values
Electronic total energy, Ha/atom: -0.279
Relative energy among the computed polymorphs, meV/atom: 244
SG: I-4m2, No. 119
Calculated formation energy, eV per atom: 0.25

Cell: 4.923 4.923 4.923 Å, 133.56 133.56 67.77°
Sites, in units of the cell vectors:
Ir 0.250 0.750 0.500
Ir 0.000 0.000 0.000
Ag 0.750 0.250 0.500
Mo 0.500 0.500 0.000

# 2
Below is a relaxed structure of AlPt2Br, with properties calculated at the PBE-GGA level.

Calculated values
Energy relative to the elements, uncorrected, meV per atom: 73
Electronic total energy, Ha/atom: -0.158
Relative energy among the computed polymorphs, meV/atom: 514
SG: Pmmm, No. 47

Cell: 2.956 5.548 4.354 Å, 90.00 90.00 90.00°
Sites, in units of the cell vectors:
Pt 0.000 0.000 0.000
Pt 0.500 0.500 0.000
Al 0.500 0.000 0.500
Br 0.000 0.500 0.500

# 3
Below is a relaxed structure of HfTaRh2, with properties calculated at the PBE-GGA level.

Calculated values
Electronic total energy, Ha/atom: -0.358
Relative energy among the computed polymorphs, meV/atom: 0
SG: P4/mmm, No. 123
Calculated formation energy, eV per atom: -0.61

Cell: 2.994 2.994 7.430 Å, 90.00 90.00 90.00°
Sites, in units of the cell vectors:
Hf 0.500 0.500 0.000
Rh 0.000 0.000 0.749
Rh 0.000 0.000 0.251
Ta 0.500 0.500 0.500

# 4
Below is a relaxed structure of Fe3Co5Ge12, with properties calculated at the PBE-GGA level.

Calculated values
Electronic total energy, Ha/atom: -0.204
SG: Ia-3d, No. 230
Calculated formation energy, eV per atom: 0.26

Cell: 12.033 12.033 12.033 Å, 109.47 109.47 109.47°
Site moments in Bohr magnetons follow the coordinates.
Sites, in units of the cell vectors:
Ge 0.441 0.772 0.868  -0.02
Ge 0.559 0.331 0.927  -0.02
Ge 0.331 0.559 0.427  -0.02
Ge 0.073 0.169 0.441  -0.02
Ge 0.632 0.059 0.228  -0.02
Ge 0.132 0.404 0.073  -0.02
Ge 0.831 0.927 0.059  -0.02
Ge 0.073 0.904 0.132  -0.02
Ge 0.404 0.272 0.331  -0.02
Ge 0.772 0.441 0.368  -0.02
Ge 0.728 0.132 0.059  -0.02
Ge 0.573 0.632 0.404  -0.02
Ge 0.132 0.728 0.559  -0.02
Ge 0.228 0.559 0.632  -0.02
Ge 0.059 0.427 0.831  -0.02
Ge 0.831 0.904 0.272  -0.02
Ge 0.927 0.831 0.559  -0.02
Ge 0.272 0.868 0.941  -0.02
Ge 0.404 0.132 0.573  -0.02
Ge 0.728 0.596 0.169  -0.02
Ge 0.868 0.596 0.927  -0.02
Ge 0.096 0.927 0.368  -0.02
Ge 0.096 0.169 0.228  -0.02
Ge 0.368 0.427 0.096  -0.02
Ge 0.927 0.096 0.868  -0.02
Ge 0.228 0.669 0.096  -0.02
Ge 0.632 0.573 0.904  -0.02
Ge 0.596 0.728 0.669  -0.02
Ge 0.169 0.096 0.728  -0.02
Ge 0.059 0.632 0.728  -0.02
Ge 0.441 0.669 0.073  -0.02
Ge 0.941 0.368 0.272  -0.02
Ge 0.573 0.941 0.669  -0.02
Ge 0.559 0.228 0.132  -0.02
Ge 0.772 0.331 0.904  -0.02
Ge 0.596 0.868 0.427  -0.02
Ge 0.427 0.368 0.596  -0.02
Ge 0.368 0.941 0.772  -0.02
Ge 0.904 0.073 0.632  -0.02
Ge 0.669 0.228 0.596  -0.02
Ge 0.669 0.441 0.573  -0.02
Ge 0.331 0.772 0.404  -0.02
Ge 0.427 0.059 0.331  -0.02
Ge 0.904 0.831 0.772  -0.02
Ge 0.272 0.404 0.831  -0.02
Ge 0.868 0.272 0.441  -0.02
Ge 0.169 0.073 0.941  -0.02
Ge 0.941 0.573 0.169  -0.02
Co 0.750 0.125 0.875  0.24
Co 0.375 0.250 0.125  0.24
Co 0.000 0.000 0.500  0.01
Co 0.875 0.625 0.750  0.24
Co 0.750 0.625 0.375  0.24
Co 0.000 0.500 0.500  0.01
Co 0.625 0.750 0.875  0.24
Co 0.125 0.750 0.375  0.24
Co 0.000 0.000 0.000  0.01
Co 0.500 0.000 0.500  0.01
Co 0.000 0.500 0.000  0.01
Co 0.500 0.500 0.500  0.01
Co 0.375 0.125 0.750  0.24
Co 0.125 0.375 0.250  0.24
Co 0.500 0.000 0.000  0.01
Co 0.250 0.375 0.625  0.24
Co 0.250 0.875 0.125  0.24
Co 0.625 0.875 0.250  0.24
Co 0.875 0.250 0.625  0.24
Co 0.500 0.500 0.000  0.01
Fe 0.875 0.750 0.125  1.59
Fe 0.250 0.125 0.375  1.59
Fe 0.125 0.250 0.875  1.59
Fe 0.625 0.375 0.750  1.59
Fe 0.375 0.750 0.625  1.59
Fe 0.625 0.250 0.375  1.59
Fe 0.125 0.875 0.750  1.59
Fe 0.750 0.875 0.625  1.59
Fe 0.375 0.625 0.250  1.59
Fe 0.750 0.375 0.125  1.59
Fe 0.875 0.125 0.250  1.59
Fe 0.250 0.625 0.875  1.59

# 5
Below is a relaxed structure of Sr2AcCeBi4, with properties calculated at the PBE-GGA level.

Calculated values
Electronic total energy, Ha/atom: -0.163
SG: P2/m, No. 10
Calculated formation energy, eV per atom: -0.81

Cell: 4.804 8.283 8.305 Å, 70.30 90.00 90.00°
Sites, in units of the cell vectors:
Sr 0.000 0.000 0.000
Sr 0.500 0.000 0.500
Ac 0.000 0.500 0.500
Ce 0.500 0.500 0.000
Bi 0.500 0.739 0.239
Bi 0.500 0.261 0.761
Bi 0.000 0.271 0.229
Bi 0.000 0.729 0.771

# 6
Below is a relaxed structure of Li2PuO4, with properties calculated at the PBE-GGA level.

Calculated values
Energy relative to the elements, uncorrected, meV per atom: -2394
Electronic total energy, Ha/atom: -0.287
Relative energy among the computed polymorphs, meV/atom: 0
SG: C2/m, No. 12

Cell: 3.440 5.094 6.408 Å, 121.62 105.55 90.01°
Site moments in Bohr magnetons follow the coordinates.
Sites, in units of the cell vectors:
Li 0.653 0.759 0.307  0.00
Li 0.347 0.241 0.693  0.00
O 0.431 0.693 0.862  -0.10
O 0.569 0.307 0.138  -0.10
O 0.149 0.970 0.298  -0.10
O 0.851 0.030 0.702  -0.10
Pu 0.000 0.000 0.000  2.45

# 7
Below is a relaxed structure of Y3Ho2Er8, with properties calculated at the PBE-GGA level.

Calculated values
Electronic total energy, Ha/atom: -0.175
Relative energy among the computed polymorphs, meV/atom: 221
SG: C2/m, No. 12
Calculated formation energy, eV per atom: 0.25

Cell: 5.563 7.553 10.773 Å, 110.52 89.98 90.00°
Sites, in units of the cell vectors:
Ho 0.499 0.758 0.517
Ho 0.501 0.242 0.483
Er 0.000 0.667 0.335
Er 0.500 0.178 0.781
Er 0.000 0.134 0.268
Er 0.000 0.333 0.665
Er 0.000 0.866 0.732
Er 0.500 0.603 0.781
Er 0.500 0.822 0.219
Er 0.500 0.397 0.219
Y 0.000 0.716 0.000
Y 0.500 0.000 0.000
Y 0.000 0.284 0.000

# 8
Below is a relaxed structure of YZrPb, with properties calculated at the PBE-GGA level.

Calculated values
Electronic total energy, Ha/atom: -0.233
Relative energy among the computed polymorphs, meV/atom: 326
SG: P3m1, No. 156
Calculated formation energy, eV per atom: -0.10

Cell: 3.473 3.473 7.852 Å, 90.00 90.00 120.00°
Sites, in units of the cell vectors:
Y 0.667 0.333 0.340
Zr 0.333 0.667 0.669
Pb 0.000 0.000 0.991

Among the records above, which one has the lowest electronic total energy? HfTaRh2